Entry 1:
This record from the Alexandria database describes crystalline Tm2GeI3 at its relaxed geometry. The functional is PBE-GGA.

Properties
Formation energy (no corrections): -0.995 eV per atom
Size of the total moment: 0.00 μB/atom
Symmetry: C2/m (12)

Cell lengths 4.126, 11.489, 10.443 Å; angles 83.33, 78.61, 79.66 degrees
Fractional positions:
Tm1 0.875 0.444 0.806
Tm2 0.125 0.556 0.194
Tm3 0.599 0.273 0.529
Tm4 0.401 0.727 0.471
Ge1 0.437 0.502 0.623
Ge2 0.563 0.498 0.377
I1 0.037 0.181 0.745
I2 0.963 0.819 0.255
I3 0.683 0.655 0.979
I4 0.317 0.345 0.021
I5 0.762 0.845 0.632
I6 0.238 0.155 0.368



Entry 2:
This record from the Alexandria database describes crystalline UGeI at its relaxed geometry. The functional is PBE-GGA.

Properties
Formation energy (no corrections): -0.240 eV per atom
Size of the total moment: 0.72 μB/atom
Symmetry: C2/m (12)

Cell lengths 3.983, 5.261, 11.479 Å; angles 78.31, 80.01, 67.76 degrees
Site moments in Bohr magnetons follow the coordinates.
Fractional positions:
U1 0.335 0.700 0.630  2.13
U2 0.665 0.300 0.370  2.13
Ge1 0.929 0.715 0.427  -0.07
Ge2 0.071 0.285 0.573  -0.07
I1 0.299 0.237 0.165  -0.05
I2 0.701 0.763 0.835  -0.05



Entry 3:
This record from the Alexandria database describes crystalline V3GeI at its relaxed geometry. The functional is PBE-GGA.

Properties
Formation energy (no corrections): 0.912 eV per atom
Size of the total moment: 1.99 μB/atom
Symmetry: Pm-3m (221)
Polymorph energy (0 for the lowest one): 0.0 meV per atom

Cell lengths 4.888, 4.888, 4.888 Å; angles 90.00, 90.00, 90.00 degrees
Site moments in Bohr magnetons follow the coordinates.
Fractional positions:
I1 0.500 0.500 0.500  -0.01
Ge1 0.000 0.000 0.000  -0.11
V1 0.000 0.500 0.000  2.70
V2 0.000 0.000 0.500  2.70
V3 0.500 0.000 0.000  2.70



Entry 4:
This record from the Alexandria database describes crystalline VGeI3 at its relaxed geometry. The functional is PBE-GGA.

Properties
Formation energy (no corrections): 0.239 eV per atom
Size of the total moment: 0.80 μB/atom
Symmetry: Pm-3m (221)
Polymorph energy (0 for the lowest one): 0.0 meV per atom

Cell lengths 5.526, 5.526, 5.526 Å; angles 90.00, 90.00, 90.00 degrees
Site moments in Bohr magnetons follow the coordinates.
Fractional positions:
I1 0.000 0.500 0.000  -0.04
I2 0.000 0.000 0.500  -0.04
I3 0.500 0.000 0.000  -0.04
Ge1 0.500 0.500 0.500  0.47
V1 0.000 0.000 0.000  2.54



Entry 5:
This record from the Alexandria database describes crystalline V3GeI at its relaxed geometry. The functional is PBE-GGA.

Properties
Formation energy (no corrections): 1.626 eV per atom
Size of the total moment: 0.00 μB/atom
Symmetry: Pm-3m (221)
Polymorph energy (0 for the lowest one): 713.6 meV per atom

Cell lengths 4.742, 4.742, 4.742 Å; angles 90.00, 90.00, 90.00 degrees
Fractional positions:
I1 0.000 0.000 0.000
Ge1 0.500 0.500 0.500
V1 0.000 0.500 0.000
V2 0.000 0.000 0.500
V3 0.500 0.000 0.000



Entry 6:
This record from the Alexandria database describes crystalline VGe2I at its relaxed geometry. The functional is PBE-GGA.

Properties
Formation energy (no corrections): 0.580 eV per atom
Size of the total moment: 0.43 μB/atom
Symmetry: I-42d (122)
Polymorph energy (0 for the lowest one): 272.0 meV per atom

Cell lengths 4.945, 4.945, 9.300 Å; angles 74.58, 74.58, 90.00 degrees
Site moments in Bohr magnetons follow the coordinates.
Fractional positions:
I1 0.000 0.000 0.000  -0.05
I2 0.750 0.250 0.500  -0.05
Ge1 0.447 0.125 0.250  -0.06
Ge2 0.303 0.625 0.250  -0.06
Ge3 0.375 0.553 0.750  -0.06
Ge4 0.875 0.697 0.750  -0.06
V1 0.500 0.500 0.000  1.59
V2 0.250 0.750 0.500  1.59



Entry 7:
This record from the Alexandria database describes crystalline VGeI3 at its relaxed geometry. The functional is PBE-GGA.

Properties
Formation energy (no corrections): 0.528 eV per atom
Size of the total moment: 0.80 μB/atom
Symmetry: Pm-3m (221)
Polymorph energy (0 for the lowest one): 289.3 meV per atom

Cell lengths 5.776, 5.776, 5.776 Å; angles 90.00, 90.00, 90.00 degrees
Site moments in Bohr magnetons follow the coordinates.
Fractional positions:
I1 0.000 0.500 0.000  -0.01
I2 0.000 0.000 0.500  -0.01
I3 0.500 0.000 0.000  -0.01
Ge1 0.000 0.000 0.000  0.01
V1 0.500 0.500 0.500  3.29



Entry 8:
This record from the Alexandria database describes crystalline VGeI6 at its relaxed geometry. The functional is PBE-GGA.

Properties
Formation energy (no corrections): -0.279 eV per atom
Size of the total moment: 0.12 μB/atom
Symmetry: C2/m (12)

Cell lengths 7.089, 7.420, 8.208 Å; angles 73.91, 54.55, 61.47 degrees
Site moments in Bohr magnetons follow the coordinates.
Fractional positions:
V1 0.000 0.000 0.500  1.51
Ge1 0.000 0.000 0.000  -0.03
I1 0.475 0.000 0.262  -0.10
I2 0.149 0.703 0.735  -0.08
I3 0.525 0.000 0.738  -0.10
I4 0.148 0.703 0.265  -0.08
I5 0.851 0.297 0.265  -0.08
I6 0.852 0.297 0.735  -0.08



What did the fifth record say?
This record from the Alexandria database describes crystalline V3GeI at its relaxed geometry. The functional is PBE-GGA.

Properties
Formation energy (no corrections): 1.626 eV per atom
Size of the total moment: 0.00 μB/atom
Symmetry: Pm-3m (221)
Polymorph energy (0 for the lowest one): 713.6 meV per atom

Cell lengths 4.742, 4.742, 4.742 Å; angles 90.00, 90.00, 90.00 degrees
Fractional positions:
I1 0.000 0.000 0.000
Ge1 0.500 0.500 0.500
V1 0.000 0.500 0.000
V2 0.000 0.000 0.500
V3 0.500 0.000 0.000